Record 1
PmSm3Rh4: optimized geometry, GGA-PBE.

**Space group**: P4/mmm, No. 123
**Calculated formation energy**: -0.7087 eV per atom

abc: 5.0089 6.8553 10.0138
angles: 90.00 90.00 90.00
Sites, in units of the cell vectors:
Pm (0.0000, 0.5000, 0.5000)
Pm (0.0000, 0.5000, 0.0000)
Rh (0.5000, 0.2492, 0.0000)
Rh (0.9993, 0.7508, 0.2500)
Rh (0.5000, 0.2492, 0.5000)
Rh (0.0007, 0.2492, 0.7500)
Rh (0.5000, 0.7508, 0.5000)
Rh (0.5000, 0.7508, 0.0000)
Rh (0.9993, 0.2492, 0.2500)
Rh (0.0007, 0.7508, 0.7500)
Sm (0.5003, 0.0000, 0.7500)
Sm (0.4997, 0.0000, 0.2500)
Sm (0.0000, 0.0000, 0.0000)
Sm (0.5003, 0.5000, 0.7500)
Sm (0.0000, 0.0000, 0.5000)
Sm (0.4997, 0.5000, 0.2500)



Record 2
Tb2YBi2: optimized geometry, GGA-PBE.

**Space group**: Cmc2_1, No. 36
**Calculated formation energy**: -0.6460 eV per atom

abc: 4.9394 6.5065 9.7906
angles: 90.00 104.61 90.00
Sites, in units of the cell vectors:
Bi (0.2015, 0.0473, 0.4030)
Bi (0.7985, 0.5473, 0.5970)
Bi (0.5758, 0.5129, 0.1516)
Bi (0.4242, 0.0129, 0.8484)
Tb (0.0052, 0.2573, 0.0104)
Tb (0.9948, 0.7573, 0.9896)
Tb (0.8108, 0.0441, 0.6215)
Tb (0.1892, 0.5441, 0.3785)
Y (0.3952, 0.5040, 0.7904)
Y (0.6048, 0.0040, 0.2096)



Record 3
TaInPb2: optimized geometry, GGA-PBE.

**Space group**: F-43m, No. 216
**Calculated formation energy**: 0.7666 eV per atom

abc: 5.2623 5.2623 5.2623
angles: 60.00 60.00 60.00
Each line ends with the local moment (μB).
Sites, in units of the cell vectors:
Ta (0.7500, 0.7500, 0.7500)  1.26
Pb (0.2500, 0.2500, 0.2500)  0.01
Pb (0.0000, 0.0000, 0.0000)  -0.01
In (0.5000, 0.5000, 0.5000)  0.03



Record 4
NbPdSe3: optimized geometry, GGA-PBE.

**Space group**: Pm-3m, No. 221
**Offset from the most stable computed form**: 720 meV/atom

abc: 5.0195 5.0195 5.0195
angles: 90.00 90.00 90.00
Sites, in units of the cell vectors:
Nb (0.0000, 0.0000, 0.0000)
Se (0.5000, 0.0000, 0.0000)
Se (0.0000, 0.5000, 0.0000)
Se (0.0000, 0.0000, 0.5000)
Pd (0.5000, 0.5000, 0.5000)



Record 5
LiLa8Ni2: optimized geometry, GGA-PBE.

**Space group**: C2/m, No. 12
**Calculated formation energy**: -0.0351 eV per atom

abc: 5.9161 8.2369 8.2369
angles: 117.55 97.20 97.20
Sites, in units of the cell vectors:
Ni (0.5000, 0.7122, 0.2943)
Ni (0.5000, 0.2943, 0.7122)
La (0.2037, 0.4070, 0.4070)
La (0.0000, 0.2512, 0.7545)
La (0.0000, 0.7545, 0.2512)
La (0.7968, 0.5993, 0.5993)
La (0.4264, 0.9141, 0.6601)
La (0.5734, 0.0919, 0.3460)
La (0.4264, 0.6601, 0.9141)
La (0.5734, 0.3460, 0.0919)
Li (0.9998, 0.0033, 0.0033)



Record 6
Cr2ReSe: optimized geometry, GGA-PBE.

**Space group**: P2/m, No. 10
**Offset from the most stable computed form**: 181 meV/atom

abc: 3.9036 2.8690 5.6941
angles: 59.83 90.00 90.00
Sites, in units of the cell vectors:
Re (0.5000, 0.2500, 0.2500)
Cr (0.0000, 0.9860, 0.0144)
Cr (0.0000, 0.5140, 0.4856)
Se (0.5000, 0.7500, 0.7500)



Record 7
Y2Ge3Pd5: optimized geometry, GGA-PBE.

**Space group**: Cmc2_1, No. 36
**Offset from the most stable computed form**: 0 meV/atom
**Calculated formation energy**: -0.7915 eV per atom

abc: 4.3129 6.8230 12.3513
angles: 90.00 100.05 90.00
Sites, in units of the cell vectors:
Ge (0.0484, 0.9297, 0.0967)
Ge (0.9516, 0.4297, 0.9033)
Ge (0.3801, 0.9580, 0.7602)
Ge (0.7738, 0.8118, 0.5477)
Ge (0.2262, 0.3118, 0.4523)
Ge (0.6199, 0.4580, 0.2398)
Pd (0.4045, 0.3305, 0.8091)
Pd (0.9443, 0.0537, 0.8885)
Pd (0.3020, 0.5864, 0.6040)
Pd (0.1241, 0.2119, 0.2482)
Pd (0.8759, 0.7119, 0.7518)
Pd (0.6980, 0.0864, 0.3960)
Pd (0.0557, 0.5537, 0.1115)
Pd (0.2770, 0.0040, 0.5540)
Pd (0.7230, 0.5040, 0.4460)
Pd (0.5955, 0.8305, 0.1910)
Y (0.8256, 0.2609, 0.6513)
Y (0.1744, 0.7609, 0.3487)
Y (0.5234, 0.2179, 0.0468)
Y (0.4766, 0.7179, 0.9532)



Record 8
LaSm6Dy2Y: optimized geometry, GGA-PBE.

**Space group**: C2/c, No. 15
**Calculated formation energy**: 0.1182 eV per atom

abc: 9.7605 8.9322 8.9322
angles: 118.04 94.14 94.14
Sites, in units of the cell vectors:
La (0.2500, 0.4057, 0.5943)
La (0.7500, 0.5943, 0.4057)
Sm (0.8783, 0.2925, 0.5047)
Sm (0.8186, 0.4303, 0.9754)
Sm (0.1814, 0.5697, 0.0246)
Sm (0.1217, 0.7075, 0.4953)
Sm (0.3186, 0.9754, 0.4303)
Sm (0.0547, 0.1163, 0.7563)
Sm (0.5547, 0.7563, 0.1163)
Sm (0.3783, 0.5047, 0.2925)
Sm (0.6814, 0.0246, 0.5697)
Sm (0.6217, 0.4953, 0.7075)
Sm (0.9453, 0.8837, 0.2437)
Sm (0.4453, 0.2437, 0.8837)
Y (0.2500, 0.9730, 0.0270)
Y (0.7500, 0.0270, 0.9730)
Dy (0.0440, 0.2951, 0.1933)
Dy (0.9560, 0.7049, 0.8067)
Dy (0.5440, 0.1933, 0.2951)
Dy (0.4560, 0.8067, 0.7049)